PBE-GGA Mg2PaSbO8, optimized geometry; mass density = 5.80 g cm⁻³; total moment = 1.64 μB per cell; energy relative to the elements, uncorrected = -2.20 eV/atom
1.0
4.7610 -0.0616 -0.0027
-0.0427 4.7651 -0.0052
0.0039 0.0074 6.6848
O Mg Pa Sb
8 2 1 1
Direct
0.1948 0.8040 0.2278
0.2972 0.2958 0.0000
0.6923 0.6935 0.5000
0.7028 0.7042 0.0000
0.8052 0.1960 0.2278
0.1948 0.8040 0.7722
0.3077 0.3065 0.5000
0.8052 0.1960 0.7722
0.5000 0.5000 0.7603
0.5000 0.5000 0.2397
0.0000 0.0000 0.5000
0.0000 0.0000 0.0000

=====

PBE-GGA TbDyZnCu, optimized geometry; mass density = 8.53 g cm⁻³; energy of formation from the pure elements = -0.28 eV/atom; relative energy among the computed polymorphs = 7 meV per atom; total moment = 0.00 μB per cell
1.0
-1.3871 -3.0436 -3.6983
-0.7762 -4.8404 0.9129
-4.6311 -1.8458 -0.1057
Zn Dy Cu Tb
1 1 1 1
Direct
0.7500 0.7500 0.7500
0.5000 0.5000 0.5000
0.2500 0.2500 0.2500
0.0000 0.0000 0.0000

=====

PBE-GGA CaTbPr, optimized geometry; mass density = 5.20 g cm⁻³; energy of formation from the pure elements = 0.04 eV/atom; relative energy among the computed polymorphs = 12 meV per atom; total moment = 0.00 μB per cell
1.0
3.7106 0.0000 0.0000
0.0000 3.7106 0.0000
-1.8553 -1.8553 7.8825
Tb Pr Ca
1 1 1
Direct
0.3258 0.3258 0.6517
0.6760 0.6760 0.3521
0.9981 0.9981 0.9963

=====

PBE-GGA NdSO6, optimized geometry; mass density = 5.28 g cm⁻³; total moment = 2.77 μB per cell; energy relative to the elements, uncorrected = -1.21 eV/atom
1.0
4.4247 -0.4912 -0.2394
-0.1574 4.4491 -0.2394
0.9721 0.9016 4.2602
Nd S O
1 1 6
Direct
0.5000 0.5000 0.5000
0.0000 0.0000 0.0000
0.2629 0.2629 0.0736
0.7368 0.0733 0.2629
0.9267 0.2632 0.7371
0.2632 0.9267 0.7371
0.0733 0.7368 0.2629
0.7371 0.7371 0.9264

=====

PBE-GGA Ba2PrO3, optimized geometry; mass density = 6.44 g cm⁻³; total moment = 0.00 μB per cell; energy relative to the elements, uncorrected = -2.55 eV/atom
1.0
5.4215 0.0000 0.0000
0.0000 7.5503 0.0056
-2.7108 -1.8860 5.8393
O Ba Pr
6 4 2
Direct
0.8602 0.4306 0.7225
0.5291 0.7500 0.0000
0.4709 0.2500 0.0000
0.1377 0.0694 0.2775
0.1398 0.5694 0.2775
0.8623 0.9306 0.7225
0.6680 0.0840 0.3367
0.3320 0.9160 0.6633
0.3313 0.4160 0.6633
0.6687 0.5840 0.3367
0.0121 0.2500 0.0000
0.9879 0.7500 0.0000

=====

PBE-GGA SmEuTlSn, optimized geometry; mass density = 8.79 g cm⁻³; energy of formation from the pure elements = -0.51 eV/atom; total moment = 7.19 μB per cell
1.0
-2.2385 5.0275 0.2271
-5.3057 0.7134 -1.2957
-3.6575 1.2109 3.9363
Eu Sm Tl Sn
1 1 1 1
Direct
0.0000 0.0000 0.0000
0.5000 0.5000 0.5000
0.7500 0.7500 0.7500
0.2500 0.2500 0.2500